DFT (PBE) results for an optimized crystal structure of Er2CuGe2O8.

Summary:
raw formation energy	-2.29	eV/atom

a b c (Å): 8.8843 8.8843 5.1525
angles (deg): 74.20 74.20 115.30
With the nearest neighbours (Å) after each atom.
Sites, in units of the cell vectors:
1 O 0.3499 0.0116 0.9305  1 Cu 1.92, 1 Ge 1.95
2 O 0.1008 0.6358 0.0712  1 Ge 1.77
3 O 0.5676 0.7514 0.2496  2 Ge 1.81-1.97
4 O 0.4899 0.4899 0.9731  1 Ge 1.78
5 O 0.6358 0.1008 0.0712  1 Ge 1.77
6 O 0.0420 0.2297 0.4467  1 Ge 1.78, 1 Cu 1.93
7 O 0.9940 0.9940 0.0314  1 Ge 1.79
8 O 0.8439 0.5035 0.7531  1 Ge 1.83
9 O 0.7497 0.2670 0.4432  1 Ge 1.82, 1 Cu 2.01
10 O 0.8320 0.8320 0.6492  1 Ge 1.76
11 O 0.2670 0.7497 0.4432  1 Ge 1.82, 1 Cu 2.01
12 O 0.2297 0.0420 0.4467  1 Ge 1.78, 1 Cu 1.93
13 O 0.0116 0.3499 0.9305  1 Cu 1.92, 1 Ge 1.95
14 O 0.7514 0.5676 0.2496  2 Ge 1.81-1.97
15 O 0.5035 0.8439 0.7531  1 Ge 1.83
16 O 0.3373 0.3373 0.6481  1 Ge 1.79
17 Cu 0.3371 0.9233 0.6314  4 O 1.92-2.06
18 Cu 0.9233 0.3371 0.6314  4 O 1.92-2.06
19 Ge 0.8946 0.4710 0.0786  5 O 1.77-1.97
20 Ge 0.1505 0.1505 0.6429  4 O 1.78-1.79
21 Ge 0.6627 0.6627 0.0202  4 O 1.76-1.81
22 Ge 0.4710 0.8946 0.0786  5 O 1.77-1.97
23 Er 0.5518 0.3125 0.7760  5 O 2.23-2.36
24 Er 0.0476 0.8070 0.3297  7 O 2.24-2.40
25 Er 0.8070 0.0476 0.3297  7 O 2.24-2.40
26 Er 0.3125 0.5518 0.7760  5 O 2.23-2.36

***

DFT (PBE) results for an optimized crystal structure of Pr4AsCl5.

Summary:
DOS at the Fermi energy	0.34	states/eV/atom
relative energy among the computed polymorphs	0.0000	eV per atom
raw formation energy	-1.85	eV/atom

a b c (Å): 4.1392 8.4332 9.3670
angles (deg): 103.71 102.76 90.00
With the nearest neighbours (Å) after each atom.
Sites, in units of the cell vectors:
1 Cl 0.5000 0.5000 0.0000  4 Pr 3.05
2 Cl 0.8288 0.1496 0.6577  4 Pr 2.95-3.05
3 Cl 0.1657 0.3321 0.3315  3 Pr 2.88-2.94
4 Cl 0.8343 0.6679 0.6685  3 Pr 2.88-2.94
5 Cl 0.1712 0.8504 0.3423  4 Pr 2.95-3.05
6 Pr 0.3424 0.9084 0.6848  1 As 2.79, 5 Cl 2.88-3.05
7 Pr 0.6576 0.0916 0.3152  1 As 2.79, 5 Cl 2.88-3.05
8 Pr 0.0000 0.7662 0.0000  2 As 2.86, 4 Cl 2.94-3.05
9 Pr 0.0000 0.2338 0.0000  2 As 2.86, 4 Cl 2.94-3.05
10 As 0.5000 0.0000 0.0000  6 Pr 2.79-2.86

***

DFT (PBE) results for an optimized crystal structure of BeZnAu.

Summary:
DOS at the Fermi energy	0.28	states/eV/atom
relative energy among the computed polymorphs	0.1249	eV per atom
formation energy from the elements	0.018	eV per atom

a b c (Å): 3.7318 2.7963 8.6002
angles (deg): 90.00 90.00 90.00
With the nearest neighbours (Å) after each atom.
Sites, in units of the cell vectors:
1 Zn 0.5000 0.5000 0.6507  4 Be 2.44
2 Zn 0.5000 0.0000 0.1507  4 Be 2.44
3 Au 0.0000 0.0000 0.8501  3 Be 2.34-2.42
4 Au 0.0000 0.5000 0.3501  3 Be 2.34-2.42
5 Be 0.0000 0.0000 0.5682  3 Au 2.34-2.42, 4 Zn 2.44
6 Be 0.0000 0.5000 0.0682  3 Au 2.34-2.42, 4 Zn 2.44

***

DFT (PBE) results for an optimized crystal structure of Li4ReTc.

Summary:
DOS at the Fermi energy	0.15	states/eV/atom
formation energy from the elements	0.411	eV per atom

a b c (Å): 4.6739 4.6739 4.6739
angles (deg): 60.00 60.00 60.00
With the nearest neighbours (Å) after each atom.
Sites, in units of the cell vectors:
1 Re 0.7500 0.7500 0.7500  12 Li 2.74, 4 Tc 2.86
2 Li 0.8748 0.3751 0.3751  6 Li 2.34
3 Li 0.3751 0.3751 0.8748  6 Li 2.34
4 Li 0.3751 0.8748 0.3751  6 Li 2.34
5 Li 0.3751 0.3751 0.3751  6 Li 2.34
6 Tc 0.0000 0.0000 0.0000  12 Li 2.74, 4 Re 2.86

***

Number 1: energy -7.07 eV/atom, spin magnetization 0.99 μB per formula unit. Number 2: energy -5.15 eV/atom, spin magnetization 0.00 μB per formula unit. Number 3: energy -2.74 eV/atom, spin magnetization 0.00 μB per formula unit. Number 4: energy -4.67 eV/atom, spin magnetization 0.00 μB per formula unit.